Density functional theory data (PBE) for crystalline Dy2ScHg4 at its relaxed geometry.

abc: 9.1163 9.1163 9.1163
angles: 31.66 31.66 31.66
Fractional positions:
Dy1 0.2463 0.2463 0.2463
Dy2 0.7537 0.7537 0.7537
Sc1 0.0000 0.0000 0.0000
Hg1 0.1277 0.1277 0.1277
Hg2 0.3704 0.3704 0.3704
Hg3 0.6296 0.6296 0.6296
Hg4 0.8723 0.8723 0.8723

**Space group**: No. 166
**ΔE to the lowest computed polymorph**: 0 meV per atom
**DOS(E_F)**: 5.1 states/eV/cell
**VASP energy**: -2.720 eV per atom
**Energy relative to the elements**: -0.33 eV/atom